(1)
AcLa2Ti | GGA-PBE | relaxed

Cell lengths 12.489, 12.489, 12.489 Å; angles 16.37, 16.37, 16.37 degrees
Element x y z (fractional)
Ac1 0.000 0.000 0.000
La1 0.420 0.420 0.420
La2 0.580 0.580 0.580
Ti1 0.500 0.500 0.500

Properties
Energy of formation: 0.526 eV/atom
Uncorrected energy: -4.939 eV per atom
Magnetic moment: 1.8 μB per formula unit



(2)
Ac3La7Tl4 | GGA-PBE | relaxed

Cell lengths 10.100, 10.100, 12.746 Å; angles 127.21, 127.21, 30.23 degrees
Element x y z (fractional)
Ac1 0.000 0.000 0.000
Ac2 0.305 0.305 0.297
Ac3 0.695 0.695 0.703
La1 0.000 0.000 0.500
La2 0.162 0.162 0.434
La3 0.310 0.310 0.973
La4 0.475 0.475 0.682
La5 0.525 0.525 0.318
La6 0.690 0.690 0.027
La7 0.838 0.838 0.566
Tl1 0.098 0.098 0.827
Tl2 0.345 0.345 0.759
Tl3 0.655 0.655 0.241
Tl4 0.902 0.902 0.173

Properties
Energy of formation: -0.207 eV/atom
Uncorrected energy: -4.228 eV per atom
Magnetic moment: 0.0 μB per formula unit



(3)
Ac3La3Tl2 | GGA-PBE | relaxed

Cell lengths 6.656, 6.656, 6.656 Å; angles 89.87, 89.87, 89.87 degrees
Element x y z (fractional)
Ac1 0.000 0.253 0.747
Ac2 0.253 0.747 0.000
Ac3 0.747 0.000 0.253
La1 0.252 0.748 0.500
La2 0.500 0.252 0.748
La3 0.748 0.500 0.252
Tl1 0.256 0.256 0.256
Tl2 0.744 0.744 0.744

Properties
Energy of formation: -0.098 eV/atom
Uncorrected energy: -4.078 eV per atom
Magnetic moment: 1.7 μB per formula unit



(4)
AcLaTl | GGA-PBE | relaxed

Cell lengths 5.550, 5.550, 5.550 Å; angles 60.00, 60.00, 60.00 degrees
Element x y z (fractional)
Ac1 0.000 0.000 0.000
La1 0.500 0.500 0.500
Tl1 0.250 0.250 0.250

Properties
Energy of formation: -0.091 eV/atom
Uncorrected energy: -3.892 eV per atom
Magnetic moment: 0.4 μB per formula unit



(5)
Ac5LaTl3 | GGA-PBE | relaxed

Cell lengths 10.168, 10.168, 7.441 Å; angles 90.00, 90.00, 120.00 degrees
Element x y z (fractional)
Ac1 0.000 0.323 0.250
Ac2 0.000 0.677 0.750
Ac3 0.323 0.000 0.250
Ac4 0.323 0.323 0.750
Ac5 0.333 0.667 0.000
Ac6 0.333 0.667 0.500
Ac7 0.667 0.333 0.000
Ac8 0.667 0.333 0.500
Ac9 0.677 0.000 0.750
Ac10 0.677 0.677 0.250
La1 0.000 0.000 0.000
La2 0.000 0.000 0.500
Tl1 0.000 0.340 0.750
Tl2 0.000 0.660 0.250
Tl3 0.340 0.000 0.750
Tl4 0.340 0.340 0.250
Tl5 0.660 0.000 0.250
Tl6 0.660 0.660 0.750

Properties
Energy of formation: -0.213 eV/atom
Uncorrected energy: -3.832 eV per atom
Magnetic moment: 0.1 μB per formula unit



(6)
Ac3La2Tl2 | GGA-PBE | relaxed

Cell lengths 13.703, 13.703, 3.853 Å; angles 90.00, 90.00, 159.49 degrees
Element x y z (fractional)
Ac1 0.000 0.000 0.000
Ac2 0.139 0.861 0.000
Ac3 0.861 0.139 0.000
La1 0.285 0.715 0.500
La2 0.715 0.285 0.500
Tl1 0.426 0.574 0.500
Tl2 0.574 0.426 0.500

Properties
Energy of formation: -0.114 eV/atom
Uncorrected energy: -3.958 eV per atom
Magnetic moment: 0.0 μB per formula unit



(7)
AcLa2Tl | GGA-PBE | relaxed

Cell lengths 5.152, 5.152, 5.193 Å; angles 90.00, 90.00, 90.00 degrees
Element x y z (fractional)
Ac1 0.000 0.000 0.000
La1 0.000 0.500 0.500
La2 0.500 0.000 0.500
Tl1 0.500 0.500 0.000

Properties
Energy of formation: -0.195 eV/atom
Uncorrected energy: -4.277 eV per atom
Magnetic moment: 0.0 μB per formula unit



(8)
Ac2LaTl5 | GGA-PBE | relaxed

Cell lengths 8.935, 8.935, 8.935 Å; angles 142.66, 142.66, 53.83 degrees
Element x y z (fractional)
Ac1 0.238 0.238 0.000
Ac2 0.762 0.762 0.000
La1 0.500 0.500 0.000
Tl1 0.000 0.000 0.000
Tl2 0.116 0.616 0.500
Tl3 0.384 0.884 0.500
Tl4 0.616 0.116 0.500
Tl5 0.884 0.384 0.500

Properties
Energy of formation: -0.294 eV/atom
Uncorrected energy: -3.416 eV per atom
Magnetic moment: 0.0 μB per formula unit



(9)
Ac2LaTl3 | GGA-PBE | relaxed

Cell lengths 4.076, 4.076, 12.290 Å; angles 90.00, 90.00, 90.00 degrees
Element x y z (fractional)
Ac1 0.000 0.000 0.171
Ac2 0.000 0.000 0.829
La1 0.000 0.000 0.500
Tl1 0.500 0.500 0.000
Tl2 0.500 0.500 0.344
Tl3 0.500 0.500 0.656

Properties
Energy of formation: -0.374 eV/atom
Uncorrected energy: -3.748 eV per atom
Magnetic moment: 0.0 μB per formula unit



(10)
AcLaTl5 | GGA-PBE | relaxed

Cell lengths 5.462, 5.462, 7.901 Å; angles 90.00, 90.00, 90.00 degrees
Element x y z (fractional)
Ac1 0.000 0.000 0.000
La1 0.500 0.500 0.500
Tl1 0.000 0.500 0.268
Tl2 0.000 0.500 0.732
Tl3 0.500 0.000 0.268
Tl4 0.500 0.000 0.732
Tl5 0.500 0.500 0.000

Properties
Energy of formation: -0.162 eV/atom
Uncorrected energy: -3.143 eV per atom
Magnetic moment: 0.0 μB per formula unit